# 1
AcDy2Ho6Tm | PBE | relaxed

The space group is C2/c (No. 15) and the conventional cell measures 9.171, 15.186 and 9.450 Å, with angles of 90.00, 94.82 and 90.00 degrees. The inequivalent atoms are Ac at (0.000, 0.029, 0.250), Dy at (0.239, 0.443, 0.451), Ho at (0.058, 0.190, 0.942), Ho at (0.102, 0.389, 0.115), Ho at (0.215, 0.228, 0.318) and Tm at (0.000, 0.413, 0.750).

The value obtained for the density of states at the Fermi level is 14.906 states/eV/f.u. The formation energy is 0.13 eV per atom. As for the final energy: -4.3933 eV/atom. The crystal system is monoclinic.



# 2
TmCu2Ni4 | PBE | relaxed

The space group is C2/m (No. 12) and the conventional cell measures 7.823, 6.173 and 4.802 Å, with angles of 90.00, 127.64 and 90.00 degrees. The inequivalent atoms are Tm at (0.000, 0.000, 0.000), Cu at (0.000, 0.500, 0.249) and Ni at (0.193, 0.194, 0.693).

The value obtained for the density of states at the Fermi level is 7.580 states/eV/f.u. The offset from the most stable computed form is 0 meV per atom. The formation energy is -0.19 eV per atom. As for the final energy: -5.3051 eV/atom. The crystal system is monoclinic.